Density functional theory data (GGA-PBE) for crystalline TmBiRh2 at its relaxed geometry.

The structure belongs to space group P4/mmm (No. 123); the cell edges are 3.504, 3.504 and 6.387 Å and the angles 90.00°, 90.00° and 90.00°. The asymmetric unit holds Tm at (0.000, 0.000, 0.000), Bi at (0.000, 0.000, 0.500) and Rh at (0.500, 0.500, 0.245).

Its formation energy is -0.53 eV per atom. As for the magnetization: 0.0 μB/cell.

Density functional theory data (GGA-PBE) for crystalline TmBiRh at its relaxed geometry.

The structure belongs to space group I4mm (No. 107); the cell edges are 3.757, 3.757 and 9.799 Å and the angles 90.00°, 90.00° and 90.00°. The asymmetric unit holds Tm at (0.000, 0.000, 0.000), Bi at (0.000, 0.000, 0.691) and Rh at (0.000, 0.000, 0.388).

Its formation energy is -0.46 eV per atom. As for the magnetization: 0.0 μB/cell.

Density functional theory data (GGA-PBE) for crystalline Tm5BiRh2 at its relaxed geometry.

The structure belongs to space group I4/mcm (No. 140); the cell edges are 7.705, 7.705 and 13.497 Å and the angles 90.00°, 90.00° and 90.00°. The asymmetric unit holds Tm at (0.000, 0.000, 0.000), Tm at (0.155, 0.345, 0.132), Bi at (0.000, 0.000, 0.250) and Rh at (0.141, 0.359, 0.500).

Its formation energy is -0.74 eV per atom. As for the magnetization: 0.0 μB/cell.

Density functional theory data (GGA-PBE) for crystalline TmBiRh2 at its relaxed geometry.

The structure belongs to space group P4/mmm (No. 123); the cell edges are 4.621, 4.621 and 3.618 Å and the angles 90.00°, 90.00° and 90.00°. The asymmetric unit holds Tm at (0.000, 0.000, 0.000), Bi at (0.500, 0.500, 0.000) and Rh at (0.000, 0.500, 0.500).

Its formation energy is -0.57 eV per atom. As for the magnetization: 0.0 μB/cell.

Density functional theory data (GGA-PBE) for crystalline Tm12BiRh6 at its relaxed geometry.

The structure belongs to space group Im-3 (No. 204); the cell edges are 9.798, 9.798 and 9.798 Å and the angles 90.00°, 90.00° and 90.00°. The asymmetric unit holds Tm at (0.000, 0.302, 0.191), Bi at (0.000, 0.000, 0.000) and Rh at (0.000, 0.131, 0.500).

Its formation energy is -0.67 eV per atom. As for the magnetization: 0.0 μB/cell.

Density functional theory data (GGA-PBE) for crystalline Tm4Bi2Rh at its relaxed geometry.

The structure belongs to space group Pbam (No. 55); the cell edges are 7.830, 12.117 and 4.342 Å and the angles 90.00°, 90.00° and 90.00°. The asymmetric unit holds Tm at (0.127, 0.197, 0.000), Tm at (0.209, 0.941, 0.500), Bi at (0.080, 0.670, 0.500) and Rh at (0.000, 0.000, 0.000).

Its formation energy is -0.68 eV per atom. As for the magnetization: 0.0 μB/cell.

Density functional theory data (GGA-PBE) for crystalline TmBiRh4 at its relaxed geometry.

The structure belongs to space group F-43m (No. 216); the cell edges are 7.539, 7.539 and 7.539 Å and the angles 90.00°, 90.00° and 90.00°. The asymmetric unit holds Tm at (0.000, 0.000, 0.000), Bi at (0.250, 0.250, 0.750) and Rh at (0.125, 0.125, 0.375).

Its formation energy is -0.39 eV per atom. As for the magnetization: 0.0 μB/cell.

Density functional theory data (GGA-PBE) for crystalline TmBiRh at its relaxed geometry.

The structure belongs to space group F-43m (No. 216); the cell edges are 6.621, 6.621 and 6.621 Å and the angles 90.00°, 90.00° and 90.00°. The asymmetric unit holds Tm at (0.000, 0.000, 0.000), Bi at (0.000, 0.000, 0.500) and Rh at (0.250, 0.250, 0.250).

Its formation energy is -0.75 eV per atom. As for the magnetization: 0.0 μB/cell.

Density functional theory data (GGA-PBE) for crystalline Tm6Bi2Rh at its relaxed geometry.

The structure belongs to space group P4_2/mnm (No. 136); the cell edges are 6.730, 6.730 and 13.824 Å and the angles 90.00°, 90.00° and 90.00°. The asymmetric unit holds Tm at (0.185, 0.185, 0.142), Tm at (0.218, 0.218, 0.500), Bi at (0.000, 0.000, 0.327) and Rh at (0.000, 0.000, 0.000).

Its formation energy is -0.25 eV per atom. As for the magnetization: 0.0 μB/cell.

Density functional theory data (GGA-PBE) for crystalline Tm4BiRh at its relaxed geometry.

The structure belongs to space group Pnma (No. 62); the cell edges are 8.113, 4.052 and 19.192 Å and the angles 90.00°, 90.00° and 90.00°. The asymmetric unit holds Tm at (0.002, 0.250, 0.067), Tm at (0.046, 0.750, 0.212), Tm at (0.139, 0.750, 0.644), Tm at (0.142, 0.750, 0.452), Bi at (0.241, 0.250, 0.311) and Rh at (0.244, 0.250, 0.550).

The value obtained for the relative energy among the computed polymorphs is 0.000 eV/atom. Its formation energy is -0.63 eV per atom. As for the magnetization: 2.0 μB/cell.

Density functional theory data (GGA-PBE) for crystalline TmBiRh at its relaxed geometry.

The structure belongs to space group P-6m2 (No. 187); the cell edges are 4.7138, 4.7138 and 3.4627 Å and the angles 90.00°, 90.00° and 120.00°. The asymmetric unit holds Tm at (0.0000, 0.0000, 0.0000), Bi at (0.6667, 0.3333, 0.5000) and Rh at (0.3333, 0.6667, 0.5000).

Its formation energy is -0.59 eV per atom. As for the magnetization: 0.0 μB/cell.

Density functional theory data (GGA-PBE) for crystalline Tm2BiRh at its relaxed geometry.

The structure belongs to space group R-3m (No. 166, hexagonal axes); the cell edges are 3.8218, 3.8218 and 24.9659 Å and the angles 90.00°, 90.00° and 120.00°. The asymmetric unit holds Tm at (0.0000, 0.0000, 0.2306), Bi at (0.0000, 0.0000, 0.0000) and Rh at (0.0000, 0.0000, 0.5000).

The value obtained for the relative energy among the computed polymorphs is 0.088 eV/atom. Its formation energy is -0.64 eV per atom. As for the magnetization: 0.0 μB/cell.